Record 1
Here is a crystal of RbSrTeW2 relaxed with PBEsol from Alexandria via LeMat-Bulk. Energies are from meta-GGA SCAN.

The value obtained for the magnetic moment is 0.585 μB/atom. Its density is 7.77 Mg/m³. The value obtained for the formation energy without anion corrections is 279 kJ/mol of atoms. As for the space group: No. 123.

Geometry as POSCAR:
```
RbSrTeW2
1.0
5.044 0.000 0.000
0.000 5.044 0.000
0.000 0.000 5.617
Rb Sr Te W
1 1 1 2
Direct
0.000 0.000 0.000
0.000 0.000 0.500
0.500 0.500 0.000
0.000 0.500 0.500
0.500 0.000 0.500
```

Record 2
Here is a crystal of BaSiMo4 relaxed with PBEsol from Alexandria via LeMat-Bulk. Energies are from meta-GGA SCAN.

The value obtained for the magnetic moment is 0.000 μB/atom. Its density is 8.24 Mg/m³. The value obtained for the formation energy without anion corrections is 100 kJ/mol of atoms. As for the space group: No. 216.

Geometry as POSCAR:
```
BaSiMo4
1.0
0.000 3.810 3.810
3.810 0.000 3.810
3.810 3.810 0.000
Ba Si Mo
1 1 4
Direct
0.000 0.000 0.000
0.250 0.250 0.250
0.127 0.624 0.624
0.624 0.127 0.624
0.624 0.624 0.127
0.624 0.624 0.624
```

> Among the records above, which one has the highest formation energy without anion corrections?

RbSrTeW2